(1)
## Ho3Tl3Hg2 (PBE)

Data for an optimized crystal structure of Ho3Tl3Hg2.

CIF file:
```
data_Ho3Tl3Hg2
_chemical_formula_sum 'Ho3 Tl3 Hg2'
_cell_length_a 5.091
_cell_length_b 5.200
_cell_length_c 7.965
_cell_angle_alpha 90.00
_cell_angle_beta 90.00
_cell_angle_gamma 90.00
_symmetry_space_group_name_H-M 'P m m m'
_symmetry_Int_Tables_number 47
_symmetry_space_group_name_Hall '-P 2 2'
loop_
_atom_site_label
_atom_site_fract_x
_atom_site_fract_y
_atom_site_fract_z
_atom_site_occupancy
Ho1 0.000 0.000 0.000 1
Ho2 0.000 0.000 0.500 1
Ho3 0.500 0.500 0.000 1
Tl1 0.500 0.000 0.247 1
Tl2 0.500 0.500 0.500 1
Hg1 0.000 0.500 0.241 1
```

Formation enthalpy at 0 K ... -289 meV/atom
Crystal system ... orthorhombic


(2)
## Ho7Tl5Hg (PBE)

Data for an optimized crystal structure of Ho7Tl5Hg.

CIF file:
```
data_Ho7Tl5Hg
_chemical_formula_sum 'Ho14 Tl10 Hg2'
_cell_length_a 6.677
_cell_length_b 10.636
_cell_length_c 10.595
_cell_angle_alpha 90.00
_cell_angle_beta 90.00
_cell_angle_gamma 90.00
_symmetry_space_group_name_H-M 'I m m 2'
_symmetry_Int_Tables_number 44
_symmetry_space_group_name_Hall 'I 2 -2'
loop_
_atom_site_label
_atom_site_fract_x
_atom_site_fract_y
_atom_site_fract_z
_atom_site_occupancy
Ho1 0.000 0.000 0.000 1
Ho2 0.000 0.000 0.360 1
Ho3 0.000 0.317 0.625 1
Ho4 0.000 0.323 0.107 1
Ho5 0.000 0.500 0.358 1
Tl1 0.000 0.500 0.864 1
Tl2 0.246 0.236 0.867 1
Hg1 0.000 0.000 0.658 1
```

Formation enthalpy at 0 K ... -133 meV/atom
Crystal system ... orthorhombic


(3)
## Ho7Tl4Hg (PBE)

Data for an optimized crystal structure of Ho7Tl4Hg.

CIF file:
```
data_Ho7Tl4Hg
_chemical_formula_sum 'Ho14 Tl8 Hg2'
_cell_length_a 14.606
_cell_length_b 5.625
_cell_length_c 11.137
_cell_angle_alpha 90.00
_cell_angle_beta 127.50
_cell_angle_gamma 90.00
_symmetry_space_group_name_H-M 'C 1 2/m 1'
_symmetry_Int_Tables_number 12
_symmetry_space_group_name_Hall '-C 2y'
loop_
_atom_site_label
_atom_site_fract_x
_atom_site_fract_y
_atom_site_fract_z
_atom_site_occupancy
Ho1 0.000 0.000 0.000 1
Ho2 0.072 0.500 0.320 1
Ho3 0.156 0.000 0.586 1
Ho4 0.214 0.500 0.868 1
Tl1 0.071 0.000 0.778 1
Tl2 0.210 0.000 0.340 1
Hg1 0.000 0.500 0.000 1
```

Formation enthalpy at 0 K ... -81 meV/atom
Crystal system ... monoclinic


(4)
## HoTl2Hg (PBE)

Data for an optimized crystal structure of HoTl2Hg.

CIF file:
```
data_HoTl2Hg
_chemical_formula_sum 'Ho1 Tl2 Hg1'
_cell_length_a 4.716
_cell_length_b 4.716
_cell_length_c 4.658
_cell_angle_alpha 90.00
_cell_angle_beta 90.00
_cell_angle_gamma 90.00
_symmetry_space_group_name_H-M 'P 4/m m m'
_symmetry_Int_Tables_number 123
_symmetry_space_group_name_Hall '-P 4 2'
loop_
_atom_site_label
_atom_site_fract_x
_atom_site_fract_y
_atom_site_fract_z
_atom_site_occupancy
Ho1 0.000 0.000 0.000 1
Tl1 0.000 0.500 0.500 1
Hg1 0.500 0.500 0.000 1
```

Formation enthalpy at 0 K ... -235 meV/atom
Crystal system ... tetragonal


(5)
## Ho2Tl2Hg3 (PBE)

Data for an optimized crystal structure of Ho2Tl2Hg3.

CIF file:
```
data_Ho2Tl2Hg3
_chemical_formula_sum 'Ho2 Tl2 Hg3'
_cell_length_a 4.878
_cell_length_b 5.261
_cell_length_c 8.844
_cell_angle_alpha 77.77
_cell_angle_beta 74.61
_cell_angle_gamma 62.63
_symmetry_space_group_name_H-M 'P -1'
_symmetry_Int_Tables_number 2
_symmetry_space_group_name_Hall '-P 1'
loop_
_atom_site_label
_atom_site_fract_x
_atom_site_fract_y
_atom_site_fract_z
_atom_site_occupancy
Ho1 0.121 0.119 0.145 1
Tl1 0.375 0.347 0.403 1
Hg1 0.232 0.256 0.773 1
Hg2 0.500 0.500 0.000 1
```

Formation enthalpy at 0 K ... -217 meV/atom
Crystal system ... triclinic


(6)
## Ho3Tl2Hg2 (PBE)

Data for an optimized crystal structure of Ho3Tl2Hg2.

CIF file:
```
data_Ho3Tl2Hg2
_chemical_formula_sum 'Ho3 Tl2 Hg2'
_cell_length_a 5.071
_cell_length_b 5.240
_cell_length_c 8.687
_cell_angle_alpha 77.95
_cell_angle_beta 89.89
_cell_angle_gamma 61.18
_symmetry_space_group_name_H-M 'P -1'
_symmetry_Int_Tables_number 2
_symmetry_space_group_name_Hall '-P 1'
loop_
_atom_site_label
_atom_site_fract_x
_atom_site_fract_y
_atom_site_fract_z
_atom_site_occupancy
Ho1 0.000 0.000 0.000 1
Ho2 0.275 0.450 0.703 1
Tl1 0.363 0.273 0.145 1
Hg1 0.069 0.863 0.363 1
```

Formation enthalpy at 0 K ... -300 meV/atom
Crystal system ... triclinic


(7)
## Ho6TlHg6 (PBE)

Data for an optimized crystal structure of Ho6TlHg6.

CIF file:
```
data_Ho6TlHg6
_chemical_formula_sum 'Ho6 Tl1 Hg6'
_cell_length_a 6.2303
_cell_length_b 6.2303
_cell_length_c 10.4418
_cell_angle_alpha 90.00
_cell_angle_beta 90.00
_cell_angle_gamma 120.00
_symmetry_space_group_name_H-M 'P 6/m m m'
_symmetry_Int_Tables_number 191
_symmetry_space_group_name_Hall '-P 6 2'
loop_
_atom_site_label
_atom_site_fract_x
_atom_site_fract_y
_atom_site_fract_z
_atom_site_occupancy
Ho1 0.0000 0.0000 0.1718 1
Ho2 0.3333 0.6667 0.0000 1
Ho3 0.3333 0.6667 0.5000 1
Tl1 0.0000 0.0000 0.5000 1
Hg1 0.0000 0.5000 0.2514 1
```

Formation enthalpy at 0 K ... -259 meV/atom
Crystal system ... hexagonal


(8)
## Ho2TlHg6 (PBE)

Data for an optimized crystal structure of Ho2TlHg6.

CIF file:
```
data_Ho2TlHg6
_chemical_formula_sum 'Ho4 Tl2 Hg12'
_cell_length_a 15.201
_cell_length_b 8.775
_cell_length_c 3.372
_cell_angle_alpha 90.00
_cell_angle_beta 90.01
_cell_angle_gamma 90.00
_symmetry_space_group_name_H-M 'C 1 2/m 1'
_symmetry_Int_Tables_number 12
_symmetry_space_group_name_Hall '-C 2y'
loop_
_atom_site_label
_atom_site_fract_x
_atom_site_fract_y
_atom_site_fract_z
_atom_site_occupancy
Ho1 0.167 0.000 0.000 1
Tl1 0.000 0.500 0.000 1
Hg1 0.000 0.165 0.500 1
Hg2 0.168 0.332 0.498 1
```

Formation enthalpy at 0 K ... -220 meV/atom
Crystal system ... monoclinic


(9)
## HoTlHg4 (PBE)

Data for an optimized crystal structure of HoTlHg4.

CIF file:
```
data_HoTlHg4
_chemical_formula_sum 'Ho4 Tl4 Hg16'
_cell_length_a 8.549
_cell_length_b 8.549
_cell_length_c 8.549
_cell_angle_alpha 90.00
_cell_angle_beta 90.00
_cell_angle_gamma 90.00
_symmetry_space_group_name_H-M 'F -4 3 m'
_symmetry_Int_Tables_number 216
_symmetry_space_group_name_Hall 'F -4 2 3'
loop_
_atom_site_label
_atom_site_fract_x
_atom_site_fract_y
_atom_site_fract_z
_atom_site_occupancy
Ho1 0.000 0.000 0.000 1
Tl1 0.250 0.250 0.750 1
Hg1 0.125 0.125 0.375 1
```

Formation enthalpy at 0 K ... -43 meV/atom
Crystal system ... cubic


(10)
## Ho2Tl4Hg (PBE)

Data for an optimized crystal structure of Ho2Tl4Hg.

CIF file:
```
data_Ho2Tl4Hg
_chemical_formula_sum 'Ho4 Tl8 Hg2'
_cell_length_a 5.796
_cell_length_b 5.796
_cell_length_c 12.748
_cell_angle_alpha 90.00
_cell_angle_beta 90.00
_cell_angle_gamma 90.00
_symmetry_space_group_name_H-M 'I 4/m m m'
_symmetry_Int_Tables_number 139
_symmetry_space_group_name_Hall '-I 4 2'
loop_
_atom_site_label
_atom_site_fract_x
_atom_site_fract_y
_atom_site_fract_z
_atom_site_occupancy
Ho1 0.000 0.000 0.142 1
Tl1 0.000 0.500 0.000 1
Tl2 0.000 0.500 0.250 1
Hg1 0.000 0.000 0.500 1
```

Formation enthalpy at 0 K ... 21 meV/atom
Crystal system ... tetragonal


(11)
## Ho3Tl3Hg2 (PBE)

Data for an optimized crystal structure of Ho3Tl3Hg2.

CIF file:
```
data_Ho3Tl3Hg2
_chemical_formula_sum 'Ho3 Tl3 Hg2'
_cell_length_a 8.2570
_cell_length_b 8.2570
_cell_length_c 3.5924
_cell_angle_alpha 90.00
_cell_angle_beta 90.00
_cell_angle_gamma 120.00
_symmetry_space_group_name_H-M 'P -6 2 m'
_symmetry_Int_Tables_number 189
_symmetry_space_group_name_Hall 'P -6 -2'
loop_
_atom_site_label
_atom_site_fract_x
_atom_site_fract_y
_atom_site_fract_z
_atom_site_occupancy
Ho1 0.0000 0.3838 0.0000 1
Tl1 0.0000 0.7606 0.5000 1
Hg1 0.3333 0.6667 0.5000 1
```

Formation enthalpy at 0 K ... -318 meV/atom
Crystal system ... hexagonal


(12)
## Ho4TlHg (PBE)

Data for an optimized crystal structure of Ho4TlHg.

CIF file:
```
data_Ho4TlHg
_chemical_formula_sum 'Ho4 Tl1 Hg1'
_cell_length_a 5.101
_cell_length_b 5.101
_cell_length_c 7.279
_cell_angle_alpha 90.00
_cell_angle_beta 90.00
_cell_angle_gamma 90.00
_symmetry_space_group_name_H-M 'P 4/m m m'
_symmetry_Int_Tables_number 123
_symmetry_space_group_name_Hall '-P 4 2'
loop_
_atom_site_label
_atom_site_fract_x
_atom_site_fract_y
_atom_site_fract_z
_atom_site_occupancy
Ho1 0.000 0.500 0.241 1
Tl1 0.000 0.000 0.500 1
Hg1 0.500 0.500 0.000 1
```

Formation enthalpy at 0 K ... -73 meV/atom
Crystal system ... tetragonal


(13)
## Ho7Tl2Hg (PBE)

Data for an optimized crystal structure of Ho7Tl2Hg.

CIF file:
```
data_Ho7Tl2Hg
_chemical_formula_sum 'Ho7 Tl2 Hg1'
_cell_length_a 5.2396
_cell_length_b 5.2396
_cell_length_c 12.6894
_cell_angle_alpha 90.00
_cell_angle_beta 90.00
_cell_angle_gamma 120.00
_symmetry_space_group_name_H-M 'P 3 m 1'
_symmetry_Int_Tables_number 156
_symmetry_space_group_name_Hall 'P 3 -2"'
loop_
_atom_site_label
_atom_site_fract_x
_atom_site_fract_y
_atom_site_fract_z
_atom_site_occupancy
Ho1 0.0000 0.0000 0.0000 1
Ho2 0.0000 0.0000 0.2591 1
Ho3 0.0000 0.0000 0.7360 1
Ho4 0.3333 0.6667 0.4046 1
Ho5 0.3333 0.6667 0.8825 1
Ho6 0.6667 0.3333 0.1316 1
Ho7 0.6667 0.3333 0.5778 1
Tl1 0.0000 0.0000 0.4976 1
Tl2 0.6667 0.3333 0.8453 1
Hg1 0.3333 0.6667 0.1411 1
```

Formation enthalpy at 0 K ... -70 meV/atom
Crystal system ... trigonal


(14)
## Ho7Tl2Hg2 (PBE)

Data for an optimized crystal structure of Ho7Tl2Hg2.

CIF file:
```
data_Ho7Tl2Hg2
_chemical_formula_sum 'Ho14 Tl4 Hg4'
_cell_length_a 7.933
_cell_length_b 11.174
_cell_length_c 7.646
_cell_angle_alpha 90.00
_cell_angle_beta 90.00
_cell_angle_gamma 90.00
_symmetry_space_group_name_H-M 'C m m m'
_symmetry_Int_Tables_number 65
_symmetry_space_group_name_Hall '-C 2 2'
loop_
_atom_site_label
_atom_site_fract_x
_atom_site_fract_y
_atom_site_fract_z
_atom_site_occupancy
Ho1 0.000 0.000 0.000 1
Ho2 0.000 0.500 0.251 1
Ho3 0.250 0.250 0.281 1
Tl1 0.185 0.000 0.500 1
Hg1 0.000 0.288 0.000 1
```

Formation enthalpy at 0 K ... -43 meV/atom
Crystal system ... orthorhombic


(15)
## Ho11Tl4Hg9 (PBE)

Data for an optimized crystal structure of Ho11Tl4Hg9.

CIF file:
```
data_Ho11Tl4Hg9
_chemical_formula_sum 'Ho22 Tl8 Hg18'
_cell_length_a 16.086
_cell_length_b 21.348
_cell_length_c 3.636
_cell_angle_alpha 90.00
_cell_angle_beta 90.00
_cell_angle_gamma 90.00
_symmetry_space_group_name_H-M 'C m m m'
_symmetry_Int_Tables_number 65
_symmetry_space_group_name_Hall '-C 2 2'
loop_
_atom_site_label
_atom_site_fract_x
_atom_site_fract_y
_atom_site_fract_z
_atom_site_occupancy
Ho1 0.000 0.000 0.000 1
Ho2 0.000 0.183 0.000 1
Ho3 0.000 0.358 0.000 1
Ho4 0.224 0.000 0.000 1
Ho5 0.232 0.171 0.000 1
Tl1 0.151 0.418 0.500 1
Hg1 0.000 0.500 0.500 1
Hg2 0.107 0.091 0.500 1
Hg3 0.121 0.266 0.500 1
```

Formation enthalpy at 0 K ... -378 meV/atom
Crystal system ... orthorhombic


(16)
## HoTl3Hg12 (PBE)

Data for an optimized crystal structure of HoTl3Hg12.

CIF file:
```
data_HoTl3Hg12
_chemical_formula_sum 'Ho1 Tl3 Hg12'
_cell_length_a 4.353
_cell_length_b 4.786
_cell_length_c 20.820
_cell_angle_alpha 90.00
_cell_angle_beta 90.00
_cell_angle_gamma 90.00
_symmetry_space_group_name_H-M 'P m m m'
_symmetry_Int_Tables_number 47
_symmetry_space_group_name_Hall '-P 2 2'
loop_
_atom_site_label
_atom_site_fract_x
_atom_site_fract_y
_atom_site_fract_z
_atom_site_occupancy
Ho1 0.000 0.000 0.000 1
Tl1 0.000 0.000 0.240 1
Tl2 0.000 0.000 0.500 1
Hg1 0.000 0.500 0.114 1
Hg2 0.000 0.500 0.369 1
Hg3 0.500 0.000 0.113 1
Hg4 0.500 0.000 0.368 1
Hg5 0.500 0.500 0.000 1
Hg6 0.500 0.500 0.238 1
Hg7 0.500 0.500 0.500 1
```

Formation enthalpy at 0 K ... -84 meV/atom
Crystal system ... orthorhombic


(17)
## Ho8Tl2Hg (PBE)

Data for an optimized crystal structure of Ho8Tl2Hg.

CIF file:
```
data_Ho8Tl2Hg
_chemical_formula_sum 'Ho16 Tl4 Hg2'
_cell_length_a 17.868
_cell_length_b 5.175
_cell_length_c 7.020
_cell_angle_alpha 90.00
_cell_angle_beta 99.07
_cell_angle_gamma 90.00
_symmetry_space_group_name_H-M 'C 1 2/m 1'
_symmetry_Int_Tables_number 12
_symmetry_space_group_name_Hall '-C 2y'
loop_
_atom_site_label
_atom_site_fract_x
_atom_site_fract_y
_atom_site_fract_z
_atom_site_occupancy
Ho1 0.029 0.000 0.245 1
Ho2 0.089 0.500 0.944 1
Ho3 0.161 0.500 0.442 1
Ho4 0.184 0.000 0.779 1
Tl1 0.206 0.000 0.223 1
Hg1 0.000 0.500 0.500 1
```

Formation enthalpy at 0 K ... -168 meV/atom
Crystal system ... monoclinic


(18)
## Ho3Tl2Hg (PBE)

Data for an optimized crystal structure of Ho3Tl2Hg.

CIF file:
```
data_Ho3Tl2Hg
_chemical_formula_sum 'Ho3 Tl2 Hg1'
_cell_length_a 3.718
_cell_length_b 3.718
_cell_length_c 11.544
_cell_angle_alpha 90.00
_cell_angle_beta 90.00
_cell_angle_gamma 90.00
_symmetry_space_group_name_H-M 'P 4/m m m'
_symmetry_Int_Tables_number 123
_symmetry_space_group_name_Hall '-P 4 2'
loop_
_atom_site_label
_atom_site_fract_x
_atom_site_fract_y
_atom_site_fract_z
_atom_site_occupancy
Ho1 0.000 0.000 0.000 1
Ho2 0.000 0.000 0.343 1
Tl1 0.500 0.500 0.172 1
Hg1 0.500 0.500 0.500 1
```

Formation enthalpy at 0 K ... -381 meV/atom
Crystal system ... tetragonal


(19)
## Ho3Tl2Hg3 (PBE)

Data for an optimized crystal structure of Ho3Tl2Hg3.

CIF file:
```
data_Ho3Tl2Hg3
_chemical_formula_sum 'Ho6 Tl4 Hg6'
_cell_length_a 9.0351
_cell_length_b 9.0351
_cell_length_c 6.2945
_cell_angle_alpha 90.00
_cell_angle_beta 90.00
_cell_angle_gamma 120.00
_symmetry_space_group_name_H-M 'P 63/m c m'
_symmetry_Int_Tables_number 193
_symmetry_space_group_name_Hall '-P 6c 2'
loop_
_atom_site_label
_atom_site_fract_x
_atom_site_fract_y
_atom_site_fract_z
_atom_site_occupancy
Ho1 0.0000 0.3229 0.2500 1
Tl1 0.3333 0.6667 0.0000 1
Hg1 0.0000 0.3300 0.7500 1
```

Formation enthalpy at 0 K ... -254 meV/atom
Crystal system ... hexagonal


(20)
## HoTl2Hg (PBE)

Data for an optimized crystal structure of HoTl2Hg.

CIF file:
```
data_HoTl2Hg
_chemical_formula_sum 'Ho3 Tl6 Hg3'
_cell_length_a 5.3552
_cell_length_b 5.3552
_cell_length_c 12.9738
_cell_angle_alpha 90.00
_cell_angle_beta 90.00
_cell_angle_gamma 120.00
_symmetry_space_group_name_H-M 'R 3 m'
_symmetry_Int_Tables_number 160
_symmetry_space_group_name_Hall 'R 3 -2"'
loop_
_atom_site_label
_atom_site_fract_x
_atom_site_fract_y
_atom_site_fract_z
_atom_site_occupancy
Ho1 0.0000 0.0000 0.0000 1
Tl1 0.0000 0.0000 0.2499 1
Tl2 0.0000 0.0000 0.5007 1
Hg1 0.0000 0.0000 0.7509 1
```

Formation enthalpy at 0 K ... -120 meV/atom
Crystal system ... trigonal